# Lu4Al24Pt9 GGA-PBE optimized geometry
# energy of formation: -33.14 eV/f.u.
# density: 8.20 g cm⁻³
data_Lu4Al24Pt9
_space_group_name_H-M_alt 'P -1'
_space_group_IT_number 2
_cell_length_a 7.497
_cell_length_b 7.501
_cell_length_c 13.122
_cell_angle_alpha 79.10
_cell_angle_beta 84.53
_cell_angle_gamma 60.08
loop_
_space_group_symop_operation_xyz
'x,y,z'
'-x,-y,-z'
loop_
_atom_site_label
_atom_site_type_symbol
_atom_site_fract_x
_atom_site_fract_y
_atom_site_fract_z
Lu1 Lu 0.001 0.232 0.308
Lu2 Lu 0.332 0.562 0.308
Al1 Al 0.001 0.686 0.941
Al2 Al 0.002 0.852 0.443
Al3 Al 0.006 0.057 0.827
Al4 Al 0.130 0.309 0.684
Al5 Al 0.332 0.021 0.939
Al6 Al 0.332 0.184 0.451
Al7 Al 0.333 0.647 0.059
Al8 Al 0.334 0.384 0.827
Al9 Al 0.334 0.483 0.557
Al10 Al 0.336 0.897 0.683
Al11 Al 0.340 0.269 0.172
Al12 Al 0.457 0.897 0.317
Pt1 Pt 0.000 0.500 0.500
Pt2 Pt 0.009 0.611 0.139
Pt3 Pt 0.325 0.954 0.138
Pt4 Pt 0.328 0.828 0.500
Pt5 Pt 0.333 0.704 0.861

---

# LuAlRuPt GGA-PBE optimized geometry
# energy of formation: -3.43 eV/f.u.
# density: 12.55 g cm⁻³
data_LuAlRuPt
_space_group_name_H-M_alt 'F -4 3 m'
_space_group_IT_number 216
_space_group_name_Hall 'F -4 2 3'
_cell_length_a 6.412
_cell_length_b 6.412
_cell_length_c 6.412
_cell_angle_alpha 90.00
_cell_angle_beta 90.00
_cell_angle_gamma 90.00
loop_
_atom_site_label
_atom_site_type_symbol
_atom_site_fract_x
_atom_site_fract_y
_atom_site_fract_z
Lu1 Lu 0.000 0.000 0.000
Al1 Al 0.000 0.000 0.500
Ru1 Ru 0.250 0.250 0.250
Pt1 Pt 0.250 0.250 0.750

---

# LuScAlPt GGA-PBE optimized geometry
# energy of formation: -3.17 eV/f.u.
# density: 9.23 g cm⁻³
data_LuScAlPt
_space_group_name_H-M_alt 'F -4 3 m'
_space_group_IT_number 216
_space_group_name_Hall 'F -4 2 3'
_cell_length_a 6.826
_cell_length_b 6.826
_cell_length_c 6.826
_cell_angle_alpha 90.00
_cell_angle_beta 90.00
_cell_angle_gamma 90.00
loop_
_atom_site_label
_atom_site_type_symbol
_atom_site_fract_x
_atom_site_fract_y
_atom_site_fract_z
Lu1 Lu 0.000 0.000 0.000
Sc1 Sc 0.000 0.000 0.500
Al1 Al 0.250 0.250 0.750
Pt1 Pt 0.250 0.250 0.250

---

# LuAlZnPt GGA-PBE optimized geometry
# energy of formation: -3.06 eV/f.u.
# density: 11.01 g cm⁻³
data_LuAlZnPt
_space_group_name_H-M_alt 'F -4 3 m'
_space_group_IT_number 216
_space_group_name_Hall 'F -4 2 3'
_cell_length_a 6.534
_cell_length_b 6.534
_cell_length_c 6.534
_cell_angle_alpha 90.00
_cell_angle_beta 90.00
_cell_angle_gamma 90.00
loop_
_atom_site_label
_atom_site_type_symbol
_atom_site_fract_x
_atom_site_fract_y
_atom_site_fract_z
Lu1 Lu 0.000 0.000 0.000
Al1 Al 0.000 0.000 0.500
Zn1 Zn 0.250 0.250 0.250
Pt1 Pt 0.250 0.250 0.750

---

# Lu2PuAl GGA-PBE optimized geometry
# energy of formation: -0.31 eV/f.u.
# ΔE to the lowest computed polymorph: 0.055 eV/atom
# density: 10.29 g cm⁻³
data_Lu2PuAl
_space_group_name_H-M_alt 'P 4/m m m'
_space_group_IT_number 123
_space_group_name_Hall '-P 4 2'
_cell_length_a 4.698
_cell_length_b 4.698
_cell_length_c 4.540
_cell_angle_alpha 90.00
_cell_angle_beta 90.00
_cell_angle_gamma 90.00
loop_
_atom_site_label
_atom_site_type_symbol
_atom_site_fract_x
_atom_site_fract_y
_atom_site_fract_z
Lu1 Lu 0.000 0.500 0.000
Pu1 Pu 0.000 0.000 0.500
Al1 Al 0.500 0.500 0.500

---

# LuPuAl GGA-PBE optimized geometry
# energy of formation: -0.18 eV/f.u.
# ΔE to the lowest computed polymorph: 0.045 eV/atom
# density: 10.36 g cm⁻³
data_LuPuAl
_space_group_name_H-M_alt 'P 3 m 1'
_space_group_IT_number 156
_cell_length_a 5.0739
_cell_length_b 5.0739
_cell_length_c 3.2049
_cell_angle_alpha 90.00
_cell_angle_beta 90.00
_cell_angle_gamma 120.00
loop_
_space_group_symop_operation_xyz
'x,y,z'
'-y,x-y,z'
'-x+y,-x,z'
'-y,-x,z'
'-x+y,y,z'
'x,x-y,z'
loop_
_atom_site_label
_atom_site_type_symbol
_atom_site_fract_x
_atom_site_fract_y
_atom_site_fract_z
Lu1 Lu 0.0000 0.0000 0.0000
Pu1 Pu 0.6667 0.3333 0.5909
Al1 Al 0.3333 0.6667 0.2656

---

# Lu2PuAl GGA-PBE optimized geometry
# energy of formation: -0.53 eV/f.u.
# ΔE to the lowest computed polymorph: 0.000 eV/atom
# density: 10.24 g cm⁻³
data_Lu2PuAl
_space_group_name_H-M_alt 'P 4/m m m'
_space_group_IT_number 123
_space_group_name_Hall '-P 4 2'
_cell_length_a 3.384
_cell_length_b 3.384
_cell_length_c 8.793
_cell_angle_alpha 90.00
_cell_angle_beta 90.00
_cell_angle_gamma 90.00
loop_
_atom_site_label
_atom_site_type_symbol
_atom_site_fract_x
_atom_site_fract_y
_atom_site_fract_z
Lu1 Lu 0.000 0.000 0.218
Pu1 Pu 0.500 0.500 0.500
Al1 Al 0.500 0.500 0.000

---

# LuPuAl GGA-PBE optimized geometry
# energy of formation: -0.31 eV/f.u.
# ΔE to the lowest computed polymorph: 0.000 eV/atom
# density: 10.24 g cm⁻³
data_LuPuAl
_space_group_name_H-M_alt 'I 4 m m'
_space_group_IT_number 107
_space_group_name_Hall 'I 4 -2'
_cell_length_a 3.245
_cell_length_b 3.245
_cell_length_c 13.727
_cell_angle_alpha 90.00
_cell_angle_beta 90.00
_cell_angle_gamma 90.00
loop_
_atom_site_label
_atom_site_type_symbol
_atom_site_fract_x
_atom_site_fract_y
_atom_site_fract_z
Lu1 Lu 0.000 0.000 0.000
Pu1 Pu 0.000 0.000 0.695
Al1 Al 0.000 0.000 0.350

---

# LuPuAl4 GGA-PBE optimized geometry
# energy of formation: -2.24 eV/f.u.
# density: 7.37 g cm⁻³
data_LuPuAl4
_space_group_name_H-M_alt 'F -4 3 m'
_space_group_IT_number 216
_space_group_name_Hall 'F -4 2 3'
_cell_length_a 7.801
_cell_length_b 7.801
_cell_length_c 7.801
_cell_angle_alpha 90.00
_cell_angle_beta 90.00
_cell_angle_gamma 90.00
loop_
_atom_site_label
_atom_site_type_symbol
_atom_site_fract_x
_atom_site_fract_y
_atom_site_fract_z
Lu1 Lu 0.000 0.000 0.000
Pu1 Pu 0.250 0.250 0.750
Al1 Al 0.125 0.125 0.375

---

# Lu2PuAl GGA-PBE optimized geometry
# energy of formation: 0.07 eV/f.u.
# ΔE to the lowest computed polymorph: 0.149 eV/atom
# density: 10.34 g cm⁻³
data_Lu2PuAl
_space_group_name_H-M_alt 'F m -3 m'
_space_group_IT_number 225
_space_group_name_Hall '-F 4 2 3'
_cell_length_a 7.361
_cell_length_b 7.361
_cell_length_c 7.361
_cell_angle_alpha 90.00
_cell_angle_beta 90.00
_cell_angle_gamma 90.00
loop_
_atom_site_label
_atom_site_type_symbol
_atom_site_fract_x
_atom_site_fract_y
_atom_site_fract_z
Lu1 Lu 0.250 0.250 0.250
Pu1 Pu 0.000 0.000 0.000
Al1 Al 0.000 0.000 0.500

---

# Lu2PuAl GGA-PBE optimized geometry
# energy of formation: -0.05 eV/f.u.
# ΔE to the lowest computed polymorph: 0.121 eV/atom
# density: 9.94 g cm⁻³
data_Lu2PuAl
_space_group_name_H-M_alt 'R -3 m'
_space_group_IT_number 166
_space_group_name_Hall '-R 3 2"'
_cell_length_a 3.4041
_cell_length_b 3.4041
_cell_length_c 31.0205
_cell_angle_alpha 90.00
_cell_angle_beta 90.00
_cell_angle_gamma 120.00
loop_
_atom_site_label
_atom_site_type_symbol
_atom_site_fract_x
_atom_site_fract_y
_atom_site_fract_z
Lu1 Lu 0.0000 0.0000 0.2414
Pu1 Pu 0.0000 0.0000 0.0000
Al1 Al 0.0000 0.0000 0.5000

---

# LuPuAlRu GGA-PBE optimized geometry
# energy of formation: -0.91 eV/f.u.
# density: 11.06 g cm⁻³
data_LuPuAlRu
_space_group_name_H-M_alt 'F -4 3 m'
_space_group_IT_number 216
_space_group_name_Hall 'F -4 2 3'
_cell_length_a 6.901
_cell_length_b 6.901
_cell_length_c 6.901
_cell_angle_alpha 90.00
_cell_angle_beta 90.00
_cell_angle_gamma 90.00
loop_
_atom_site_label
_atom_site_type_symbol
_atom_site_fract_x
_atom_site_fract_y
_atom_site_fract_z
Lu1 Lu 0.000 0.000 0.000
Pu1 Pu 0.000 0.000 0.500
Al1 Al 0.250 0.250 0.750
Ru1 Ru 0.250 0.250 0.250

---

no.,spin magnetization (μB/atom)
1,0.000
2,0.001
3,0.000
4,0.000
5,1.632
6,1.956
7,1.508
8,1.852
9,1.021
10,1.540
11,1.565
12,1.233